No. 1
## BaLa2PuN4 (PBE)

Data for BaLa2PuN4 after structural relaxation.

Results
**DFT total energy**: -8.40 eV/atom
**Crystal system**: orthorhombic
**Uncorrected formation energy**: -0.969 eV per atom

Cell: 3.783 6.758 13.203 Å, 90.00 90.00 106.25°
Fractional positions:
Ba1 0.097 0.194 0.750
Ba2 0.903 0.806 0.250
La1 0.373 0.745 0.533
La2 0.627 0.255 0.033
La3 0.627 0.255 0.467
La4 0.373 0.745 0.967
Pu1 0.829 0.657 0.750
Pu2 0.171 0.343 0.250
N1 0.258 0.516 0.114
N2 0.742 0.484 0.614
N3 0.742 0.484 0.886
N4 0.258 0.516 0.386
N5 0.000 0.000 0.500
N6 0.000 0.000 0.000
N7 0.420 0.840 0.750
N8 0.580 0.160 0.250



No. 2
## Nd2HoAl (PBE)

Data for Nd2HoAl after structural relaxation.

Results
**DFT total energy**: -4.52 eV/atom
**Energy of formation**: -0.06 eV per atom
**Crystal system**: cubic
**Energy above the most stable polymorph in this dataset**: 116 meV/atom

Cell: 5.453 5.453 5.453 Å, 60.00 60.00 60.00°
Fractional positions:
Nd1 0.250 0.250 0.250
Nd2 0.750 0.750 0.750
Ho1 0.500 0.500 0.500
Al1 0.000 0.000 0.000



no.,calculated volume (Å³ per atom)
1,20.3
2,28.7